This record from Alexandria via LeMat-Bulk describes a relaxed structure of CaFe2SbO6. The functional is PBE with a Hubbard U.

abc: 5.280 5.281 5.845
angles: 62.37 62.27 60.01
Each line ends with the local moment (μB).
Fractional positions:
O 0.932 0.604 0.229  -0.01
O 0.224 0.937 0.223  0.00
O 0.352 0.732 0.772  -0.01
O 0.734 0.143 0.774  -0.01
O 0.158 0.355 0.763  -0.01
O 0.609 0.228 0.224  0.00
Fe 0.004 0.010 0.978  1.20
Fe 0.526 0.524 0.425  3.74
Sb 0.322 0.322 0.033  0.01
Ca 0.800 0.806 0.595  0.00

Computed properties:
SG = P1, No. 1
uncorrected energy = -6.365 eV per atom